P) ! CaTbPrCd (PBE, relaxed); values from VASP
&SYSTEM
  ibrav = 0, nat = 4, ntyp = 4
/
ATOMIC_SPECIES
Ca 40.08 Ca.upf
Tb 158.93 Tb.upf
Pr 140.91 Pr.upf
Cd 112.41 Cd.upf
ATOMIC_POSITIONS crystal
Ca 0.000 0.000 0.000
Tb 0.000 0.000 0.573
Pr 0.500 0.500 0.311
Cd 0.500 0.500 0.780
CELL_PARAMETERS angstrom
3.667 0.000 0.000
0.000 3.667 0.000
0.000 0.000 9.525
! Size of the total moment, μB per cell: 0.00

Q) ! CaTbPrCd (PBE, relaxed); values from VASP
&SYSTEM
  ibrav = 0, nat = 4, ntyp = 4
/
ATOMIC_SPECIES
Ca 40.08 Ca.upf
Tb 158.93 Tb.upf
Pr 140.91 Pr.upf
Cd 112.41 Cd.upf
ATOMIC_POSITIONS crystal
Ca 0.000 0.000 0.000
Tb 0.250 0.250 0.250
Pr 0.750 0.750 0.750
Cd 0.500 0.500 0.500
CELL_PARAMETERS angstrom
0.000 3.959 3.959
3.959 0.000 3.959
3.959 3.959 0.000
! Size of the total moment, μB per cell: 0.00

Which structure is most stable? P), by 115 meV/atom over the runner-up.

P) ! CaPrTmCd (PBE, relaxed); values from VASP
&SYSTEM
  ibrav = 0, nat = 4, ntyp = 4
/
ATOMIC_SPECIES
Ca 40.08 Ca.upf
Pr 140.91 Pr.upf
Tm 168.93 Tm.upf
Cd 112.41 Cd.upf
ATOMIC_POSITIONS crystal
Ca 0.000 0.000 0.000
Pr 0.750 0.750 0.750
Tm 0.250 0.250 0.250
Cd 0.500 0.500 0.500
CELL_PARAMETERS angstrom
0.000 3.936 3.936
3.936 0.000 3.936
3.936 3.936 0.000
! Size of the total moment, μB per cell: 0.00

Q) ! CaPrTmCd (PBE, relaxed); values from VASP
&SYSTEM
  ibrav = 0, nat = 4, ntyp = 4
/
ATOMIC_SPECIES
Ca 40.08 Ca.upf
Pr 140.91 Pr.upf
Tm 168.93 Tm.upf
Cd 112.41 Cd.upf
ATOMIC_POSITIONS crystal
Ca 0.000 0.000 0.000
Pr 0.500 0.500 0.315
Tm 0.000 0.000 0.575
Cd 0.500 0.500 0.775
CELL_PARAMETERS angstrom
3.646 0.000 0.000
0.000 3.646 0.000
0.000 0.000 9.450
! Size of the total moment, μB per cell: 0.00

Which structure is most stable? Q), by 133 meV/atom over the runner-up.